# 1
AcTb4NdS8 | the Alexandria database | PBE | optimized geometry; D(E_F) = 8.33 states/eV per cell; E_form (uncorrected) = -1929 meV/atom
1.0
8.215 0.000 0.000
4.107 7.114 0.000
4.107 2.371 6.778
S Tb Nd Ac
8 4 1 1
Direct
0.750 0.750 0.265
0.234 0.750 0.265
0.750 0.234 0.265
0.240 0.792 0.727
0.757 0.757 0.729
0.240 0.240 0.727
0.235 0.235 0.296
0.792 0.240 0.727
0.998 0.998 0.497
0.998 0.506 0.497
0.506 0.998 0.497
0.626 0.626 0.123
0.998 0.998 0.007
0.374 0.374 0.877

# 2
Er5Sn | the Alexandria database | PBE | optimized geometry; calculated formation energy = -0.266 eV/atom; D(E_F) = 6.42 states/eV per cell
1.0
-0.041 3.946 2.782
-3.041 2.116 -3.046
-4.181 -3.792 5.317
Er Sn
5 1
Direct
0.000 0.662 0.324
0.500 0.168 0.336
0.500 0.832 0.664
0.500 0.500 0.000
0.000 0.338 0.676
0.000 0.000 0.000

We obtain E_tot values of -87.42 -28.41 eV/cell for the records listed above, in that order.